# Ca2BeCu

A crystal of Ca2BeCu relaxed with PBEsol (SCAN, the Alexandria database).

POSCAR file:
```
Ca2BeCu
1.0
0.0000 3.3454 3.3454
3.3454 0.0000 3.3454
3.3454 3.3454 0.0000
Ca Be Cu
2 1 1
Direct
0.0000 0.0000 0.0000 Ca
0.2500 0.2500 0.2500 Ca
0.5000 0.5000 0.5000 Be
0.7500 0.7500 0.7500 Cu
```

Summary:
Its formation energy is 355 meV per atom. The density of states at the Fermi level is 3.828 states/eV per cell. Its final energy is -9.37 eV/atom.

=====

# YCd2Pb

A crystal of YCd2Pb relaxed with PBEsol (SCAN, the Alexandria database).

POSCAR file:
```
YCd2Pb
1.0
-2.2290 2.2290 4.8536
2.2290 -2.2290 4.8536
2.2290 2.2290 -4.8536
Y Cd Pb
1 2 1
Direct
0.0000 0.0000 0.0000 Y
0.2500 0.7500 0.5000 Cd
0.7500 0.2500 0.5000 Cd
0.5000 0.5000 0.0000 Pb
```

Summary:
Its formation energy is -377 meV per atom. The density of states at the Fermi level is 1.834 states/eV per cell. Its final energy is -41.49 eV/atom.